1.
The following is a PBE calculation of a relaxed structure of ZrAlSi4, from Alexandria via LeMat-Bulk.

Cell lengths 8.0289, 8.0289, 6.9470 Å; angles 90.00, 90.00, 153.18 degrees
Fractional coordinates of all 12 atoms:
1 Si 0.0000 0.0000 0.0000
2 Si 0.0000 0.0000 0.5000
3 Si 0.1464 0.8536 0.9728
4 Si 0.8536 0.1464 0.4728
5 Si 0.1464 0.8536 0.5272
6 Si 0.8536 0.1464 0.0272
7 Si 0.5494 0.4506 0.7500
8 Si 0.4506 0.5494 0.2500
9 Al 0.3835 0.6165 0.7500
10 Al 0.6165 0.3835 0.2500
11 Zr 0.7297 0.2703 0.7500
12 Zr 0.2703 0.7297 0.2500

Summary:
ρ = 3.79 g/cm³
E_tot = -5.639 eV/atom
raw formation energy = 0.02 eV/atom
ΔE to the lowest computed polymorph = 0.26 eV per formula unit



2.
The following is a PBE calculation of a relaxed structure of HfTaNbS2, from Alexandria via LeMat-Bulk.

Cell lengths 4.6782, 5.2751, 4.6782 Å; angles 90.00, 90.00, 90.00 degrees
Fractional coordinates of all 5 atoms:
1 Nb 0.0000 0.5000 0.0000
2 Hf 0.0000 0.0000 0.0000
3 S 0.0000 0.0000 0.5000
4 S 0.5000 0.0000 0.0000
5 Ta 0.5000 0.5000 0.5000

Summary:
ρ = 7.43 g/cm³
E_tot = -7.050 eV/atom
raw formation energy = 0.98 eV/atom



3.
The following is a PBE calculation of a relaxed structure of CeCrSi, from Alexandria via LeMat-Bulk.

Cell lengths 5.2879, 4.8485, 5.6050 Å; angles 75.09, 61.85, 56.95 degrees
Fractional coordinates of all 6 atoms:
1 Cr 0.7500 0.5000 0.5000
2 Cr 0.2500 0.5000 0.5000
3 Ce 0.8061 0.3878 0.0000
4 Ce 0.1939 0.6122 0.0000
5 Si 0.6909 0.0000 0.6183
6 Si 0.3091 0.0000 0.3817

Summary:
ρ = 6.89 g/cm³
E_tot = -6.937 eV/atom
raw formation energy = 0.06 eV/atom



4.
The following is a PBE calculation of a relaxed structure of TlP3Se, from Alexandria via LeMat-Bulk.

Cell lengths 4.8936, 4.8936, 4.8936 Å; angles 90.00, 90.00, 90.00 degrees
Fractional coordinates of all 5 atoms:
1 P 0.0000 0.5000 0.0000
2 P 0.0000 0.0000 0.5000
3 P 0.5000 0.0000 0.0000
4 Tl 0.5000 0.5000 0.5000
5 Se 0.0000 0.0000 0.0000

Summary:
ρ = 5.33 g/cm³
E_tot = -3.483 eV/atom
raw formation energy = 0.93 eV/atom
ΔE to the lowest computed polymorph = 0.00 eV per formula unit



5.
The following is a PBE calculation of a relaxed structure of ScAg3Pd6, from Alexandria via LeMat-Bulk.

Cell lengths 4.0817, 8.9051, 9.0816 Å; angles 91.62, 90.00, 90.00 degrees
Fractional coordinates of all 20 atoms:
1 Sc 0.2500 0.9355 0.6244
2 Sc 0.7500 0.0645 0.3756
3 Ag 0.2500 0.5531 0.4012
4 Ag 0.7500 0.4469 0.5988
5 Ag 0.2500 0.3445 0.7982
6 Ag 0.7500 0.6555 0.2018
7 Ag 0.2500 0.7505 0.0015
8 Ag 0.7500 0.2495 0.9985
9 Pd 0.2500 0.4505 0.0999
10 Pd 0.7500 0.5495 0.9001
11 Pd 0.2500 0.1538 0.1981
12 Pd 0.7500 0.8462 0.8019
13 Pd 0.2500 0.6478 0.7018
14 Pd 0.7500 0.3522 0.2982
15 Pd 0.2500 0.2377 0.4969
16 Pd 0.7500 0.7623 0.5031
17 Pd 0.2500 0.8629 0.3104
18 Pd 0.7500 0.1371 0.6896
19 Pd 0.2500 0.0479 0.9005
20 Pd 0.7500 0.9521 0.0995

Summary:
ρ = 10.14 g/cm³
formation enthalpy at 0 K = -0.316 eV/atom
E_tot = -4.920 eV/atom



6.
The following is a PBE calculation of a relaxed structure of K3Ho3ScSe8, from Alexandria via LeMat-Bulk.

Cell lengths 8.1647, 8.1687, 9.1909 Å; angles 116.41, 90.00, 119.98 degrees
Fractional coordinates of all 15 atoms:
1 K 0.0000 0.0000 0.0000
2 K 0.0000 0.5000 0.0000
3 K 0.5000 0.5000 0.0000
4 Ho 0.5000 0.0000 0.5000
5 Ho 0.5000 0.5000 0.5000
6 Ho 0.0000 0.5000 0.5000
7 Sc 0.0000 0.0000 0.5000
8 Se 0.2648 0.5296 0.2945
9 Se 0.7352 0.4704 0.7055
10 Se 0.7728 0.5456 0.3026
11 Se 0.2272 0.4544 0.6974
12 Se 0.7728 0.0297 0.3026
13 Se 0.2272 0.9703 0.6974
14 Se 0.2569 0.0297 0.3026
15 Se 0.7431 0.9703 0.6974

Summary:
ρ = 4.70 g/cm³
E_tot = -5.063 eV/atom
raw formation energy = -1.65 eV/atom



7.
The following is a PBE calculation of a relaxed structure of Ho2TaI, from Alexandria via LeMat-Bulk.

Cell lengths 3.4112, 3.4112, 11.0517 Å; angles 81.12, 81.12, 60.00 degrees
Fractional coordinates of all 4 atoms:
1 I 0.5000 0.5000 0.5000
2 Ho 0.0891 0.0891 0.7326
3 Ho 0.9109 0.9109 0.2674
4 Ta 0.0000 0.0000 0.0000

Summary:
ρ = 9.66 g/cm³
E_tot = -5.154 eV/atom
raw formation energy = 0.49 eV/atom



8.
The following is a PBE calculation of a relaxed structure of Dy3Zn8Ir, from Alexandria via LeMat-Bulk.

Cell lengths 5.2561, 5.2561, 9.3999 Å; angles 73.76, 73.76, 60.00 degrees
Fractional coordinates of all 12 atoms:
1 Dy 0.3783 0.3783 0.8652
2 Dy 0.9883 0.9883 0.0350
3 Dy 0.5047 0.5047 0.4858
4 Zn 0.9360 0.4337 0.1966
5 Zn 0.4437 0.9379 0.6806
6 Zn 0.4337 0.4337 0.1966
7 Zn 0.9379 0.9379 0.6806
8 Zn 0.1879 0.1879 0.4363
9 Zn 0.6856 0.6856 0.9431
10 Zn 0.4337 0.9360 0.1966
11 Zn 0.9379 0.4437 0.6806
12 Ir 0.8822 0.8822 0.3533

Summary:
ρ = 9.38 g/cm³
formation enthalpy at 0 K = -0.320 eV/atom
E_tot = -3.059 eV/atom



9.
The following is a PBE calculation of a relaxed structure of Na2InCl6, from Alexandria via LeMat-Bulk.

Cell lengths 7.0377, 7.3089, 9.7306 Å; angles 90.00, 92.47, 90.00 degrees
Fractional coordinates of all 18 atoms:
1 Na 0.9692 0.4147 0.7782
2 Na 0.5308 0.9147 0.7218
3 Na 0.4692 0.0853 0.2782
4 Na 0.0308 0.5853 0.2218
5 In 0.5000 0.5000 0.0000
6 In 0.0000 0.0000 0.5000
7 Cl 0.8296 0.9099 0.2782
8 Cl 0.8353 0.7196 0.6024
9 Cl 0.7862 0.6940 0.9384
10 Cl 0.7138 0.1940 0.5616
11 Cl 0.6647 0.2196 0.8976
12 Cl 0.6704 0.4099 0.2218
13 Cl 0.1704 0.0901 0.7218
14 Cl 0.1647 0.2804 0.3976
15 Cl 0.2138 0.3060 0.0616
16 Cl 0.2862 0.8060 0.4384
17 Cl 0.3353 0.7804 0.1024
18 Cl 0.3296 0.5901 0.7782

Summary:
ρ = 2.48 g/cm³
E_tot = -3.011 eV/atom
raw formation energy = -1.18 eV/atom



10.
The following is a PBE calculation of a relaxed structure of BeGeN2, from Alexandria via LeMat-Bulk.

Cell lengths 5.4141, 5.4141, 5.4141 Å; angles 32.67, 32.67, 32.67 degrees
Fractional coordinates of all 4 atoms:
1 Be 0.0000 0.0000 0.0000
2 Ge 0.5000 0.5000 0.5000
3 N 0.9006 0.9006 0.9006
4 N 0.0994 0.0994 0.0994

Summary:
ρ = 4.43 g/cm³
E_tot = -6.322 eV/atom
raw formation energy = -0.07 eV/atom



11.
The following is a PBE calculation of a relaxed structure of ScCd2Sb, from Alexandria via LeMat-Bulk.

Cell lengths 4.2515, 4.2733, 6.6366 Å; angles 49.43, 90.00, 90.00 degrees
Fractional coordinates of all 4 atoms:
1 Cd 0.0000 0.0000 0.0000
2 Cd 0.5000 0.5000 0.0000
3 Sb 0.5000 0.5000 0.5000
4 Sc 0.0000 0.0000 0.5000

Summary:
ρ = 7.10 g/cm³
E_tot = -3.418 eV/atom
raw formation energy = -0.35 eV/atom



12.
The following is a PBE calculation of a relaxed structure of CeYThN3, from Alexandria via LeMat-Bulk.

Cell lengths 3.5004, 6.1481, 9.1734 Å; angles 77.69, 90.00, 90.00 degrees
Fractional coordinates of all 12 atoms:
1 Ce 0.2500 0.3697 0.6409
2 Ce 0.7500 0.6303 0.3591
3 Y 0.2500 0.7348 0.0460
4 Y 0.7500 0.2652 0.9540
5 Th 0.7500 0.8556 0.6904
6 Th 0.2500 0.1444 0.3096
7 N 0.2500 0.7833 0.5009
8 N 0.7500 0.9568 0.1677
9 N 0.7500 0.4507 0.1591
10 N 0.7500 0.2167 0.4991
11 N 0.2500 0.5493 0.8409
12 N 0.2500 0.0432 0.8323

Summary:
ρ = 8.66 g/cm³
E_tot = -8.857 eV/atom
raw formation energy = -1.39 eV/atom



13.
The following is a PBE calculation of a relaxed structure of AlOs2Pt, from Alexandria via LeMat-Bulk.

Cell lengths 5.1137, 5.1137, 5.1137 Å; angles 145.86, 128.83, 62.95 degrees
Fractional coordinates of all 4 atoms:
1 Os 0.0153 0.0153 0.0000
2 Os 0.7565 0.2565 0.5000
3 Al 0.2504 0.7504 0.5000
4 Pt 0.4777 0.4777 0.0000

Summary:
ρ = 17.30 g/cm³
formation enthalpy at 0 K = -0.041 eV/atom
E_tot = -8.101 eV/atom



14.
The following is a PBE calculation of a relaxed structure of YIn2Rh4, from Alexandria via LeMat-Bulk.

Cell lengths 5.5611, 5.5611, 5.5611 Å; angles 110.80, 108.81, 108.81 degrees
Fractional coordinates of all 7 atoms:
1 Y 0.0000 0.0000 0.0000
2 In 0.5000 0.5000 0.0000
3 In 0.5000 0.0000 0.5000
4 Rh 0.5000 0.0000 0.0000
5 Rh 0.5000 0.5000 0.5000
6 Rh 0.0000 0.0000 0.5000
7 Rh 0.0000 0.5000 0.0000

Summary:
ρ = 9.16 g/cm³
formation enthalpy at 0 K = -0.256 eV/atom
E_tot = -6.163 eV/atom



15.
The following is a PBE calculation of a relaxed structure of MnSb2As, from Alexandria via LeMat-Bulk.

Cell lengths 7.1549, 7.1549, 7.1549 Å; angles 148.90, 150.95, 43.07 degrees
Fractional coordinates of all 4 atoms:
1 As 0.7500 0.2500 0.5000
2 Mn 0.2500 0.7500 0.5000
3 Sb 0.9181 0.9181 0.0000
4 Sb 0.5819 0.5819 0.0000

Summary:
ρ = 6.77 g/cm³
E_tot = -5.381 eV/atom
raw formation energy = 0.13 eV/atom



16.
The following is a PBE calculation of a relaxed structure of Sr2LiAlZn2, from Alexandria via LeMat-Bulk.

Cell lengths 6.4550, 6.3459, 8.9339 Å; angles 110.80, 111.18, 90.00 degrees
Fractional coordinates of all 12 atoms:
1 Sr 0.4083 0.1657 0.3315
2 Sr 0.5917 0.8343 0.6685
3 Sr 0.0769 0.3343 0.6685
4 Sr 0.9231 0.6657 0.3315
5 Li 0.0000 0.7500 0.0000
6 Li 0.0000 0.2500 0.0000
7 Al 0.5000 0.7500 0.0000
8 Al 0.5000 0.2500 0.0000
9 Zn 0.8308 0.0995 0.1990
10 Zn 0.3682 0.5995 0.1990
11 Zn 0.6318 0.4005 0.8010
12 Zn 0.1692 0.9005 0.8010

Summary:
ρ = 3.58 g/cm³
formation enthalpy at 0 K = -0.198 eV/atom
E_tot = -2.126 eV/atom



17.
The following is a PBE calculation of a relaxed structure of TaSiTe2, from Alexandria via LeMat-Bulk.

Cell lengths 4.8243, 3.6445, 5.3700 Å; angles 75.53, 90.00, 90.00 degrees
Fractional coordinates of all 4 atoms:
1 Si 0.5000 0.2500 0.2500
2 Ta 0.5000 0.7500 0.7500
3 Te 0.0000 0.9514 0.9866
4 Te 0.0000 0.5486 0.5134

Summary:
ρ = 8.43 g/cm³
E_tot = -5.260 eV/atom
raw formation energy = 0.63 eV/atom



18.
The following is a PBE calculation of a relaxed structure of InP3Pb, from Alexandria via LeMat-Bulk.

Cell lengths 5.0646, 5.0646, 5.0646 Å; angles 90.00, 90.00, 90.00 degrees
Fractional coordinates of all 5 atoms:
1 Pb 0.5000 0.5000 0.5000
2 P 0.0000 0.5000 0.0000
3 P 0.0000 0.0000 0.5000
4 P 0.5000 0.0000 0.0000
5 In 0.0000 0.0000 0.0000

Summary:
ρ = 5.30 g/cm³
formation enthalpy at 0 K = 0.904 eV/atom
E_tot = -3.631 eV/atom
ΔE to the lowest computed polymorph = 0.00 eV per formula unit



19.
The following is a PBE calculation of a relaxed structure of Te2IrCl, from Alexandria via LeMat-Bulk.

Cell lengths 3.2071, 3.2071, 10.6226 Å; angles 90.00, 90.00, 89.97 degrees
Fractional coordinates of all 4 atoms:
1 Cl 0.0000 0.0000 0.6028
2 Ir 0.5000 0.5000 0.7679
3 Te 0.0000 0.0000 0.9021
4 Te 0.5000 0.5000 0.2271

Summary:
ρ = 7.34 g/cm³
E_tot = -4.042 eV/atom
raw formation energy = 0.21 eV/atom
ΔE to the lowest computed polymorph = 2.18 eV per formula unit



20.
The following is a PBE calculation of a relaxed structure of Ac2NdPaN5, from Alexandria via LeMat-Bulk.

Cell lengths 4.2500, 4.2500, 9.3507 Å; angles 90.00, 90.00, 90.00 degrees
Fractional coordinates of all 9 atoms:
1 Ac 0.5000 0.5000 0.2744
2 Ac 0.5000 0.5000 0.7256
3 Nd 0.0000 0.0000 0.0000
4 Pa 0.0000 0.0000 0.5000
5 N 0.0000 0.5000 0.5000
6 N 0.5000 0.0000 0.5000
7 N 0.0000 0.0000 0.7498
8 N 0.0000 0.0000 0.2502
9 N 0.5000 0.5000 0.0000

Summary:
ρ = 8.84 g/cm³
E_tot = -8.245 eV/atom
raw formation energy = -1.12 eV/atom